# 1
{"formula": "InHgH", "functional": "PBE-GGA", "state": "relaxed", "space_group": "P-1, No. 2", "relative_energy_mev_per_atom": 0, "lattice": [[-1.3233, 2.7682, 0.1709], [-4.3948, -2.2354, 2.0611], [5.0957, 1.9597, 6.1308]], "species": ["H", "H", "Hg", "Hg", "In", "In"], "fractional_positions": [[0.0029, 0.4774, 0.4510], [0.9971, 0.5226, 0.5490], [0.5536, 0.6873, 0.8802], [0.4464, 0.3127, 0.1198], [0.3118, 0.9018, 0.2981], [0.6882, 0.0982, 0.7019]]}



# 2
{"formula": "ZrSiGePb2", "functional": "PBE-GGA", "state": "relaxed", "space_group": "P4/mmm, No. 123", "e_form_raw_mev_per_atom": 751, "lattice": [[5.6507, 0.0000, 0.0000], [0.0000, 5.1094, 0.0000], [0.0000, 0.0000, 5.6507]], "species": ["Pb", "Pb", "Ge", "Si", "Zr"], "fractional_positions": [[0.0000, 0.0000, 0.5000], [0.5000, 0.0000, 0.0000], [0.5000, 0.5000, 0.5000], [0.0000, 0.5000, 0.0000], [0.0000, 0.0000, 0.0000]]}



# 3
{"formula": "YCrSn2Ge", "functional": "PBE-GGA", "state": "relaxed", "space_group": "P4/mmm, No. 123", "ef_ev_per_atom": 1.053, "lattice": [[-0.3607, 3.0107, 4.2464], [-0.5210, -4.3547, 3.0432], [5.1804, -0.2089, 0.5881]], "species": ["Y", "Cr", "Ge", "Sn", "Sn"], "fractional_positions": [[0.0000, 0.5000, 0.0000], [0.5000, 0.5000, 0.5000], [0.0000, 0.0000, 0.0000], [0.0000, 0.0000, 0.5000], [0.5000, 0.0000, 0.0000]]}



# 4
{"formula": "Y5Zn4Os", "functional": "PBE-GGA", "state": "relaxed", "space_group": "P4/mmm, No. 123", "ef_ev_per_atom": -0.329, "lattice": [[-1.2434, -1.7538, 2.7961], [-1.5028, -2.3594, -2.1482], [14.9769, -9.9316, 0.4310]], "species": ["Y", "Y", "Y", "Y", "Y", "Zn", "Zn", "Zn", "Zn", "Os"], "fractional_positions": [[0.5000, 0.5000, 0.0908], [0.5000, 0.5000, 0.2982], [0.5000, 0.5000, 0.5000], [0.5000, 0.5000, 0.7018], [0.5000, 0.5000, 0.9092], [0.0000, 0.0000, 0.1985], [0.0000, 0.0000, 0.3992], [0.0000, 0.0000, 0.6008], [0.0000, 0.0000, 0.8015], [0.0000, 0.0000, 0.0000]]}



# 5
{"formula": "CaSm4Dy3S8", "functional": "PBE-GGA", "state": "relaxed", "space_group": "R-3m, No. 166", "e_form_raw_mev_per_atom": -2018, "lattice": [[-5.3740, 4.0101, 4.2092], [-5.4284, -5.6017, -1.5938], [6.9016, -2.0332, 3.3031]], "species": ["Ca", "Sm", "Sm", "Sm", "Sm", "Dy", "Dy", "Dy", "S", "S", "S", "S", "S", "S", "S", "S"], "fractional_positions": [[0.0000, 0.5000, 0.0000], [0.5000, 0.0000, 0.0000], [0.5000, 0.0000, 0.5000], [0.0000, 0.0000, 0.0000], [0.0000, 0.0000, 0.5000], [0.5000, 0.5000, 0.0000], [0.5000, 0.5000, 0.5000], [0.0000, 0.5000, 0.5000], [0.2476, 0.7409, 0.9933], [0.2476, 0.7409, 0.4952], [0.2534, 0.2601, 0.5067], [0.7457, 0.7409, 0.9933], [0.2543, 0.2591, 0.0067], [0.7466, 0.7399, 0.4933], [0.7524, 0.2591, 0.5048], [0.7524, 0.2591, 0.0067]]}



# 6
{"formula": "AcTm2Pu", "functional": "PBE-GGA", "state": "relaxed", "space_group": "R3m, No. 160", "ef_ev_per_atom": 0.171, "relative_energy_mev_per_atom": 25, "lattice": [[-3.0852, -1.8226, -0.4731], [-0.0779, -2.8886, -2.1713], [1.6075, -8.4145, 8.1282]], "species": ["Ac", "Tm", "Tm", "Pu"], "fractional_positions": [[0.5007, 0.5007, 0.4980], [0.0781, 0.0781, 0.7657], [0.2551, 0.2551, 0.2347], [0.6661, 0.6661, 0.0016]]}



# 7
{"formula": "Sc3CdC", "functional": "PBE-GGA", "state": "relaxed", "space_group": "I-4m2, No. 119", "ef_ev_per_atom": 0.095, "relative_energy_mev_per_atom": 559, "lattice": [[-3.1578, 4.2873, -3.1997], [-3.7361, -4.4267, -2.2441], [-6.9587, 0.6491, 1.7069]], "species": ["Sc", "Sc", "Sc", "Sc", "Sc", "Sc", "C", "C", "Cd", "Cd"], "fractional_positions": [[0.1361, 0.8832, 0.2336], [0.1168, 0.8639, 0.7664], [0.1168, 0.3697, 0.7664], [0.6303, 0.8832, 0.2336], [0.3677, 0.3677, 0.2646], [0.6323, 0.6323, 0.7354], [0.0000, 0.0000, 0.0000], [0.2500, 0.7500, 0.5000], [0.6225, 0.1225, 0.7550], [0.8775, 0.3775, 0.2450]]}



# 8
{"formula": "Li6Ca2Sn9", "functional": "PBE-GGA", "state": "relaxed", "space_group": "P6/mmm, No. 191", "ef_ev_per_atom": -0.242, "lattice": [[-5.1398, 2.9732, 1.7009], [-0.3658, -5.6919, -2.3705], [1.0722, -5.2136, 12.3534]], "species": ["Li", "Li", "Li", "Li", "Li", "Li", "Ca", "Ca", "Sn", "Sn", "Sn", "Sn", "Sn", "Sn", "Sn", "Sn", "Sn"], "fractional_positions": [[0.3333, 0.6667, 0.0000], [0.6667, 0.3333, 0.0000], [0.3333, 0.6667, 0.6624], [0.6667, 0.3333, 0.6624], [0.6667, 0.3333, 0.3376], [0.3333, 0.6667, 0.3376], [0.0000, 0.0000, 0.6634], [0.0000, 0.0000, 0.3366], [0.5000, 0.0000, 0.8279], [0.0000, 0.5000, 0.8279], [0.5000, 0.5000, 0.8279], [0.5000, 0.0000, 0.1721], [0.0000, 0.5000, 0.1721], [0.5000, 0.5000, 0.1721], [0.5000, 0.0000, 0.5000], [0.0000, 0.5000, 0.5000], [0.5000, 0.5000, 0.5000]]}